This record from Alexandria describes a relaxed structure of TbAl3Tc. The functional is GGA-PBE.

Cell lengths 6.3583, 6.3583, 5.4859 Å; angles 90.00, 90.00, 120.00 degrees
Space group P6_3/mmc (No. 194)
Unique sites:
Tb (0.3333, 0.6667, 0.2500) x2
Al (0.1937, 0.3874, 0.7500) x6
Tc (0.0000, 0.0000, 0.0000) x2

Crystal system   hexagonal
Size of the total moment   0.00 μB per cell
V   19.21 Å³/atom
ΔE_f   -0.3072 eV per atom
D(E_F)   6.225 states/eV per cell

This record from Alexandria describes a relaxed structure of TbAlTc. The functional is GGA-PBE.

Cell lengths 4.3636, 4.3636, 3.7237 Å; angles 90.00, 90.00, 120.00 degrees
Space group P-6m2 (No. 187)
Unique sites:
Tb (0.0000, 0.0000, 0.0000) x1
Al (0.3333, 0.6667, 0.5000) x1
Tc (0.6667, 0.3333, 0.5000) x1

Crystal system   hexagonal
Size of the total moment   0.00 μB per cell
Excess energy over the best structure of this formula in the dataset   262.5 meV/atom
V   20.47 Å³/atom
ΔE_f   -0.1550 eV per atom
D(E_F)   1.223 states/eV per cell

This record from Alexandria describes a relaxed structure of TbAlTc. The functional is GGA-PBE.

Cell lengths 3.435, 3.435, 9.905 Å; angles 90.00, 90.00, 90.00 degrees
Space group I4mm (No. 107)
Unique sites:
Tb (0.000, 0.000, 0.000) x2
Al (0.000, 0.000, 0.291) x2
Tc (0.000, 0.000, 0.691) x2

Crystal system   tetragonal
Size of the total moment   0.00 μB per cell
Excess energy over the best structure of this formula in the dataset   200.3 meV/atom
V   19.48 Å³/atom
ΔE_f   -0.2172 eV per atom
D(E_F)   5.677 states/eV per cell

This record from Alexandria describes a relaxed structure of Tb3Al9Tc2. The functional is GGA-PBE.

Cell lengths 4.366, 9.545, 12.623 Å; angles 90.00, 90.00, 90.00 degrees
Space group Immm (No. 71)
Unique sites:
Tb (0.000, 0.000, 0.000) x2
Tb (0.000, 0.000, 0.301) x4
Al (0.000, 0.282, 0.124) x8
Al (0.000, 0.360, 0.348) x8
Al (0.000, 0.500, 0.000) x2
Tc (0.000, 0.176, 0.500) x4

Crystal system   orthorhombic
Size of the total moment   0.00 μB per cell
V   18.79 Å³/atom
ΔE_f   -0.4746 eV per atom
D(E_F)   18.309 states/eV per cell

This record from Alexandria describes a relaxed structure of Tb6Al2Tc. The functional is GGA-PBE.

Cell lengths 5.077, 7.106, 14.722 Å; angles 90.00, 90.00, 90.00 degrees
Space group Immm (No. 71)
Unique sites:
Tb (0.000, 0.233, 0.000) x4
Tb (0.000, 0.255, 0.343) x8
Al (0.000, 0.500, 0.167) x4
Tc (0.000, 0.500, 0.500) x2

Crystal system   orthorhombic
Size of the total moment   0.00 μB per cell
V   29.50 Å³/atom
ΔE_f   0.0105 eV per atom
D(E_F)   18.809 states/eV per cell

This record from Alexandria describes a relaxed structure of TbAl10Tc2. The functional is GGA-PBE.

Cell lengths 9.144, 10.350, 9.203 Å; angles 90.00, 90.00, 90.00 degrees
Space group Cmcm (No. 63)
Unique sites:
Tb (0.000, 0.127, 0.250) x4
Al (0.000, 0.152, 0.597) x8
Al (0.000, 0.375, 0.039) x8
Al (0.156, 0.371, 0.750) x8
Al (0.227, 0.000, 0.000) x8
Al (0.227, 0.365, 0.250) x8
Tc (0.250, 0.250, 0.000) x8

Crystal system   orthorhombic
Size of the total moment   0.00 μB per cell
V   16.75 Å³/atom
ΔE_f   -0.4168 eV per atom
D(E_F)   24.569 states/eV per cell